#P
Computed, not measured: GdHfPt after structural relaxation at the PBE-GGA level of DFT. Values from VASP.

Cell and atoms, written as Quantum ESPRESSO input:
```
&SYSTEM
  ibrav = 0, nat = 12, ntyp = 3
/
ATOMIC_SPECIES
Gd 157.25 Gd.upf
Hf 178.49 Hf.upf
Pt 195.08 Pt.upf
CELL_PARAMETERS angstrom
6.674 0.000 0.000
0.000 6.674 0.000
0.000 0.000 6.674
ATOMIC_POSITIONS angstrom
Gd 0.000 0.000 0.000
Gd 0.000 3.337 3.337
Gd 3.337 0.000 3.337
Gd 3.337 3.337 0.000
Hf 0.000 0.000 3.337
Hf 0.000 3.337 0.000
Hf 3.337 0.000 0.000
Hf 3.337 3.337 3.337
Pt 1.669 1.669 1.669
Pt 1.669 5.006 5.006
Pt 5.006 1.669 5.006
Pt 5.006 5.006 1.669
```

Properties
- Volume: 297.3 Å³ per cell
- SG: F-43m (216)
- Total moment: 0.00 μB/f.u.

#Q
Computed, not measured: GdHfPt after structural relaxation at the PBE-GGA level of DFT. Values from VASP.

Cell and atoms, written as Quantum ESPRESSO input:
```
&SYSTEM
  ibrav = 0, nat = 12, ntyp = 3
/
ATOMIC_SPECIES
Gd 157.25 Gd.upf
Hf 178.49 Hf.upf
Pt 195.08 Pt.upf
CELL_PARAMETERS angstrom
6.572 0.000 0.000
0.000 6.572 0.000
0.000 0.000 6.572
ATOMIC_POSITIONS angstrom
Gd 0.000 0.000 0.000
Gd 0.000 3.286 3.286
Gd 3.286 0.000 3.286
Gd 3.286 3.286 0.000
Hf 1.643 1.643 4.929
Hf 1.643 4.929 1.643
Hf 4.929 1.643 1.643
Hf 4.929 4.929 4.929
Pt 1.643 1.643 1.643
Pt 1.643 4.929 4.929
Pt 4.929 1.643 4.929
Pt 4.929 4.929 1.643
```

Properties
- Volume: 283.8 Å³ per cell
- SG: F-43m (216)
- Total moment: 0.00 μB/f.u.

Which of them is most stable, and which least? Most stable: #P; least stable: #Q.

#P
Computed, not measured: KGdHgTe3 after structural relaxation at the PBE-GGA level of DFT. Values from VASP.

Cell and atoms, written as Quantum ESPRESSO input:
```
&SYSTEM
  ibrav = 0, nat = 24, ntyp = 4
/
ATOMIC_SPECIES
K 39.10 K.upf
Gd 157.25 Gd.upf
Hg 200.59 Hg.upf
Te 127.60 Te.upf
CELL_PARAMETERS angstrom
9.024 0.000 0.000
0.000 4.760 0.000
0.000 0.000 18.631
ATOMIC_POSITIONS angstrom
K 0.754 1.190 3.587
K 3.758 3.570 12.902
K 5.266 1.190 5.729
K 8.270 3.570 15.044
Gd 2.022 1.190 17.876
Gd 2.490 3.570 8.561
Gd 6.534 1.190 10.070
Gd 7.001 3.570 0.755
Hg 0.416 1.190 12.343
Hg 4.096 3.570 3.028
Hg 4.928 1.190 15.603
Hg 8.608 3.570 6.288
Te 0.019 1.190 7.945
Te 1.159 3.570 1.000
Te 1.936 1.190 14.759
Te 2.575 3.570 5.444
Te 3.353 1.190 10.315
Te 4.493 3.570 17.261
Te 4.531 1.190 1.370
Te 5.671 3.570 8.316
Te 6.448 1.190 13.187
Te 7.087 3.570 3.871
Te 7.864 1.190 17.631
Te 9.005 3.570 10.685
```

Properties
- Volume: 800.3 Å³ per cell
- SG: Pnma (62)
- Total moment: 0.00 μB/f.u.

#Q
Computed, not measured: KGdHgTe3 after structural relaxation at the PBE-GGA level of DFT. Values from VASP.

Cell and atoms, written as Quantum ESPRESSO input:
```
&SYSTEM
  ibrav = 0, nat = 24, ntyp = 4
/
ATOMIC_SPECIES
K 39.10 K.upf
Gd 157.25 Gd.upf
Hg 200.59 Hg.upf
Te 127.60 Te.upf
CELL_PARAMETERS angstrom
11.866 0.000 0.000
0.000 4.510 0.000
0.000 0.000 16.094
ATOMIC_POSITIONS angstrom
K 2.769 1.127 0.171
K 3.164 3.382 8.218
K 8.702 1.127 7.876
K 9.098 3.382 15.923
Gd 0.158 3.382 12.027
Gd 5.775 1.127 3.980
Gd 6.091 3.382 12.114
Gd 11.708 1.127 4.067
Hg 2.864 3.382 3.443
Hg 3.069 1.127 11.490
Hg 8.797 3.382 4.604
Hg 9.002 1.127 12.651
Te 0.450 3.382 1.961
Te 0.732 1.127 9.909
Te 2.825 1.127 5.285
Te 3.108 3.382 13.332
Te 5.201 3.382 1.862
Te 5.483 1.127 10.008
Te 6.383 3.382 6.086
Te 6.665 1.127 14.232
Te 8.759 1.127 2.762
Te 9.041 3.382 10.809
Te 11.134 3.382 6.185
Te 11.416 1.127 14.133
```

Properties
- Volume: 861.3 Å³ per cell
- SG: Pnma (62)
- Total moment: 0.00 μB/f.u.

Which of them is most stable, and which least? Most stable: #Q; least stable: #P.

#P
Computed, not measured: KGdHgTe3 after structural relaxation at the PBE-GGA level of DFT. Values from VASP.

Cell and atoms, written as Quantum ESPRESSO input:
```
&SYSTEM
  ibrav = 0, nat = 12, ntyp = 4
/
ATOMIC_SPECIES
K 39.10 K.upf
Gd 157.25 Gd.upf
Hg 200.59 Hg.upf
Te 127.60 Te.upf
CELL_PARAMETERS angstrom
2.257 -8.006 0.000
2.257 8.006 0.000
0.000 0.000 11.872
ATOMIC_POSITIONS angstrom
K 2.257 4.103 8.904
K 2.257 -4.103 2.968
Gd 0.000 0.000 0.000
Gd 0.000 0.000 5.936
Hg 2.257 0.635 2.968
Hg 2.257 -0.635 8.904
Te 2.257 6.781 2.968
Te 2.257 2.127 0.573
Te 2.257 2.127 5.363
Te 2.257 -2.127 6.509
Te 2.257 -2.127 11.299
Te 2.257 -6.781 8.904
```

Properties
- Volume: 429.0 Å³ per cell
- SG: Cmcm (63)
- Total moment: 0.00 μB/f.u.

#Q
Computed, not measured: KGdHgTe3 after structural relaxation at the PBE-GGA level of DFT. Values from VASP.

Cell and atoms, written as Quantum ESPRESSO input:
```
&SYSTEM
  ibrav = 0, nat = 24, ntyp = 4
/
ATOMIC_SPECIES
K 39.10 K.upf
Gd 157.25 Gd.upf
Hg 200.59 Hg.upf
Te 127.60 Te.upf
CELL_PARAMETERS angstrom
16.110 0.000 0.000
0.000 4.531 0.000
0.000 0.000 12.087
ATOMIC_POSITIONS angstrom
K 3.751 1.133 0.671
K 4.303 3.398 6.715
K 11.806 1.133 5.372
K 12.358 3.398 11.416
Gd 0.323 1.133 4.193
Gd 7.732 3.398 10.237
Gd 8.378 1.133 1.850
Gd 15.787 3.398 7.894
Hg 0.241 3.398 1.263
Hg 7.814 1.133 7.307
Hg 8.296 3.398 4.781
Hg 15.869 1.133 10.824
Te 1.566 3.398 10.586
Te 1.601 1.133 6.977
Te 2.296 3.398 3.184
Te 5.759 1.133 9.228
Te 6.454 3.398 0.934
Te 6.488 1.133 4.543
Te 9.621 3.398 7.545
Te 9.655 1.133 11.153
Te 10.351 3.398 2.859
Te 13.814 1.133 8.903
Te 14.509 3.398 5.110
Te 14.543 1.133 1.501
```

Properties
- Volume: 882.2 Å³ per cell
- SG: Pnma (62)
- Total moment: 0.00 μB/f.u.

Which of them is most stable, and which least? Most stable: #P; least stable: #Q.

#P
Computed, not measured: KGdHgTe3 after structural relaxation at the PBE-GGA level of DFT. Values from VASP.

Cell and atoms, written as Quantum ESPRESSO input:
```
&SYSTEM
  ibrav = 0, nat = 12, ntyp = 4
/
ATOMIC_SPECIES
K 39.10 K.upf
Gd 157.25 Gd.upf
Hg 200.59 Hg.upf
Te 127.60 Te.upf
CELL_PARAMETERS angstrom
10.273 -2.236 0.000
10.273 2.236 0.000
-2.004 0.000 9.453
ATOMIC_POSITIONS angstrom
K 2.703 0.000 0.652
K 15.839 0.000 8.802
Gd 2.432 0.000 5.459
Gd 16.109 0.000 3.995
Hg 9.051 0.000 2.637
Hg 9.490 0.000 6.816
Te -1.002 0.000 4.727
Te 6.261 0.000 1.870
Te 5.429 0.000 6.073
Te 10.273 0.000 0.000
Te 13.112 0.000 3.380
Te 12.280 0.000 7.584
```

Properties
- Volume: 434.3 Å³ per cell
- SG: C2/m (12)
- Total moment: 0.01 μB/f.u.

#Q
Computed, not measured: KGdHgTe3 after structural relaxation at the PBE-GGA level of DFT. Values from VASP.

Cell and atoms, written as Quantum ESPRESSO input:
```
&SYSTEM
  ibrav = 0, nat = 12, ntyp = 4
/
ATOMIC_SPECIES
K 39.10 K.upf
Gd 157.25 Gd.upf
Hg 200.59 Hg.upf
Te 127.60 Te.upf
CELL_PARAMETERS angstrom
9.205 0.000 0.000
0.000 4.527 0.000
-3.363 0.000 10.580
ATOMIC_POSITIONS angstrom
K 1.262 1.132 2.872
K 4.579 3.395 7.707
Gd 0.040 3.395 9.118
Gd 5.802 1.132 1.462
Hg -1.278 1.132 6.523
Hg 7.120 3.395 4.056
Te -2.176 1.132 9.177
Te 0.418 3.395 5.846
Te 3.669 3.395 1.594
Te 2.172 1.132 8.986
Te 5.424 1.132 4.734
Te 8.018 3.395 1.403
```

Properties
- Volume: 440.8 Å³ per cell
- SG: P2_1/m (11)
- Total moment: 0.00 μB/f.u.

Which of them is most stable, and which least? Most stable: #Q; least stable: #P.

#P
Computed, not measured: LiGdHgSe3 after structural relaxation at the PBE-GGA level of DFT. Values from VASP.

Cell and atoms, written as Quantum ESPRESSO input:
```
&SYSTEM
  ibrav = 0, nat = 12, ntyp = 4
/
ATOMIC_SPECIES
Li 6.94 Li.upf
Gd 157.25 Gd.upf
Hg 200.59 Hg.upf
Se 78.96 Se.upf
CELL_PARAMETERS angstrom
2.053 -6.680 0.000
2.053 6.680 0.000
0.000 0.000 11.157
ATOMIC_POSITIONS angstrom
Li 2.053 3.652 8.367
Li 2.053 -3.652 2.789
Gd 0.000 0.000 0.000
Gd 0.000 0.000 5.578
Hg 2.053 0.352 2.789
Hg 2.053 -0.352 8.367
Se 2.053 5.279 2.789
Se 2.053 1.942 0.696
Se 2.053 1.942 4.882
Se 2.053 -1.942 6.275
Se 2.053 -1.942 10.460
Se 2.053 -5.279 8.367
```

Properties
- Volume: 306.0 Å³ per cell
- SG: Cmcm (63)
- Total moment: 0.00 μB/f.u.

#Q
Computed, not measured: LiGdHgSe3 after structural relaxation at the PBE-GGA level of DFT. Values from VASP.

Cell and atoms, written as Quantum ESPRESSO input:
```
&SYSTEM
  ibrav = 0, nat = 24, ntyp = 4
/
ATOMIC_SPECIES
Li 6.94 Li.upf
Gd 157.25 Gd.upf
Hg 200.59 Hg.upf
Se 78.96 Se.upf
CELL_PARAMETERS angstrom
11.175 0.000 0.000
0.000 4.162 0.000
0.000 0.000 13.269
ATOMIC_POSITIONS angstrom
Li 1.805 1.040 0.957
Li 3.783 3.121 7.591
Li 7.392 1.040 5.677
Li 9.370 3.121 12.311
Gd 1.320 1.040 10.100
Gd 4.268 3.121 3.466
Gd 6.907 1.040 9.802
Gd 9.855 3.121 3.168
Hg 1.453 1.040 5.005
Hg 4.134 3.121 11.639
Hg 7.041 1.040 1.629
Hg 9.722 3.121 8.263
Se 1.087 3.121 8.107
Se 1.505 3.121 2.688
Se 1.633 3.121 12.201
Se 3.954 1.040 5.566
Se 4.082 1.040 9.322
Se 4.500 1.040 1.473
Se 6.674 3.121 11.796
Se 7.093 3.121 3.947
Se 7.221 3.121 7.702
Se 9.542 1.040 1.068
Se 9.670 1.040 10.581
Se 10.088 1.040 5.161
```

Properties
- Volume: 617.1 Å³ per cell
- SG: Pnma (62)
- Total moment: 0.01 μB/f.u.

Which of them is most stable, and which least? Most stable: #Q; least stable: #P.

#P
Computed, not measured: Gd2Lu3Hg3 after structural relaxation at the PBE-GGA level of DFT. Values from VASP.

Cell and atoms, written as Quantum ESPRESSO input:
```
&SYSTEM
  ibrav = 0, nat = 16, ntyp = 3
/
ATOMIC_SPECIES
Gd 157.25 Gd.upf
Lu 174.97 Lu.upf
Hg 200.59 Hg.upf
CELL_PARAMETERS angstrom
5.544 0.000 0.000
0.000 7.167 0.000
0.000 0.000 10.775
ATOMIC_POSITIONS angstrom
Gd 0.000 0.000 0.000
Gd 0.000 3.584 5.387
Gd 2.772 0.000 3.876
Gd 2.772 3.584 9.263
Lu 0.000 1.736 8.025
Lu 0.000 1.848 2.637
Lu 0.000 5.319 2.637
Lu 0.000 5.432 8.025
Lu 2.772 0.000 8.773
Lu 2.772 3.584 3.386
Hg 0.000 0.000 5.363
Hg 0.000 3.584 10.751
Hg 2.772 1.575 0.994
Hg 2.772 2.009 6.382
Hg 2.772 5.158 6.382
Hg 2.772 5.592 0.994
```

Properties
- Volume: 428.2 Å³ per cell
- SG: Amm2 (38)
- Total moment: 0.12 μB/f.u.

#Q
Computed, not measured: Gd2Lu3Hg3 after structural relaxation at the PBE-GGA level of DFT. Values from VASP.

Cell and atoms, written as Quantum ESPRESSO input:
```
&SYSTEM
  ibrav = 0, nat = 8, ntyp = 3
/
ATOMIC_SPECIES
Gd 157.25 Gd.upf
Lu 174.97 Lu.upf
Hg 200.59 Hg.upf
CELL_PARAMETERS angstrom
6.961 0.000 0.000
-3.481 6.029 0.000
0.000 0.000 5.084
ATOMIC_POSITIONS angstrom
Gd 0.000 0.000 0.000
Gd 0.000 4.019 2.542
Lu 1.796 1.037 2.542
Lu 5.165 1.037 2.542
Lu 3.481 3.955 2.542
Hg 3.481 0.060 0.000
Hg 1.792 2.984 0.000
Hg 5.169 2.984 0.000
```

Properties
- Volume: 213.4 Å³ per cell
- SG: P-6m2 (187)
- Total moment: 0.38 μB/f.u.

#R
Computed, not measured: Gd2Lu3Hg3 after structural relaxation at the PBE-GGA level of DFT. Values from VASP.

Cell and atoms, written as Quantum ESPRESSO input:
```
&SYSTEM
  ibrav = 0, nat = 8, ntyp = 3
/
ATOMIC_SPECIES
Gd 157.25 Gd.upf
Lu 174.97 Lu.upf
Hg 200.59 Hg.upf
CELL_PARAMETERS angstrom
6.591 0.000 0.000
0.000 5.353 0.000
-2.941 0.000 5.911
ATOMIC_POSITIONS angstrom
Gd 0.000 0.000 0.000
Gd -0.092 2.677 4.070
Lu 1.795 0.000 2.804
Lu 4.654 2.677 1.093
Lu 3.302 2.677 3.999
Hg 1.427 2.677 1.125
Hg 0.325 0.000 5.896
Hg 4.953 0.000 2.947
```

Properties
- Volume: 208.6 Å³ per cell
- SG: Pm (6)
- Total moment: 0.05 μB/f.u.

Which of them is most stable, and which least? Most stable: #R; least stable: #Q.

#P
Computed, not measured: GdHgNO after structural relaxation at the PBE-GGA level of DFT. Values from VASP.

Cell and atoms, written as Quantum ESPRESSO input:
```
&SYSTEM
  ibrav = 0, nat = 8, ntyp = 4
/
ATOMIC_SPECIES
Gd 157.25 Gd.upf
Hg 200.59 Hg.upf
N 14.01 N.upf
O 16.00 O.upf
CELL_PARAMETERS angstrom
3.926 0.000 0.000
0.000 3.926 0.000
0.000 0.000 8.052
ATOMIC_POSITIONS angstrom
Gd 0.982 0.982 1.119
Gd 2.945 2.945 6.933
Hg 0.982 2.945 4.026
Hg 2.945 0.982 4.026
N 0.982 0.982 5.596
N 2.945 2.945 2.456
O 0.982 2.945 0.000
O 2.945 0.982 0.000
```

Properties
- Volume: 124.1 Å³ per cell
- SG: P4/nmm (129)
- Total moment: 0.00 μB/f.u.

#Q
Computed, not measured: GdHgNO after structural relaxation at the PBE-GGA level of DFT. Values from VASP.

Cell and atoms, written as Quantum ESPRESSO input:
```
&SYSTEM
  ibrav = 0, nat = 8, ntyp = 4
/
ATOMIC_SPECIES
Gd 157.25 Gd.upf
Hg 200.59 Hg.upf
N 14.01 N.upf
O 16.00 O.upf
CELL_PARAMETERS angstrom
3.896 0.000 0.000
0.000 6.555 0.000
0.000 0.000 6.219
ATOMIC_POSITIONS angstrom
Gd 0.000 0.948 0.000
Gd 0.000 5.608 3.110
Hg 1.948 2.912 3.608
Hg 1.948 3.643 0.499
N 1.948 1.945 5.443
N 1.948 4.610 2.333
O 0.000 0.952 2.160
O 0.000 5.603 5.269
```

Properties
- Volume: 158.8 Å³ per cell
- SG: Pmc2_1 (26)
- Total moment: 0.00 μB/f.u.

#R
Computed, not measured: GdHgNO after structural relaxation at the PBE-GGA level of DFT. Values from VASP.

Cell and atoms, written as Quantum ESPRESSO input:
```
&SYSTEM
  ibrav = 0, nat = 16, ntyp = 4
/
ATOMIC_SPECIES
Gd 157.25 Gd.upf
Hg 200.59 Hg.upf
N 14.01 N.upf
O 16.00 O.upf
CELL_PARAMETERS angstrom
6.590 0.000 0.000
0.000 7.487 0.000
0.000 0.000 6.416
ATOMIC_POSITIONS angstrom
Gd 0.536 0.897 0.000
Gd 2.759 0.897 3.208
Gd 3.831 6.590 0.000
Gd 6.055 6.590 3.208
Hg 1.542 4.501 5.222
Hg 1.753 4.501 2.014
Hg 4.838 2.986 5.222
Hg 5.048 2.986 2.014
N 0.310 4.559 3.542
N 2.985 4.559 0.334
N 3.605 2.927 3.542
N 6.280 2.927 0.334
O 0.869 0.466 4.261
O 2.427 0.466 1.054
O 4.164 7.021 4.261
O 5.722 7.021 1.054
```

Properties
- Volume: 316.6 Å³ per cell
- SG: Pca2_1 (29)
- Total moment: 0.00 μB/f.u.

Which of them is most stable, and which least? Most stable: #R; least stable: #P.

#P
Computed, not measured: GdHgNO after structural relaxation at the PBE-GGA level of DFT. Values from VASP.

Cell and atoms, written as Quantum ESPRESSO input:
```
&SYSTEM
  ibrav = 0, nat = 8, ntyp = 4
/
ATOMIC_SPECIES
Gd 157.25 Gd.upf
Hg 200.59 Hg.upf
N 14.01 N.upf
O 16.00 O.upf
CELL_PARAMETERS angstrom
5.062 0.000 0.000
0.000 5.062 0.000
0.000 0.000 4.621
ATOMIC_POSITIONS angstrom
Gd 1.266 3.797 0.000
Gd 3.797 1.266 0.000
Hg 1.266 1.266 2.289
Hg 3.797 3.797 2.332
N 1.266 1.266 4.602
N 3.797 3.797 0.019
O 1.266 3.797 2.310
O 3.797 1.266 2.310
```

Properties
- Volume: 118.4 Å³ per cell
- SG: P4/nmm (129)
- Total moment: 0.00 μB/f.u.

#Q
Computed, not measured: GdHgNO after structural relaxation at the PBE-GGA level of DFT. Values from VASP.

Cell and atoms, written as Quantum ESPRESSO input:
```
&SYSTEM
  ibrav = 0, nat = 8, ntyp = 4
/
ATOMIC_SPECIES
Gd 157.25 Gd.upf
Hg 200.59 Hg.upf
N 14.01 N.upf
O 16.00 O.upf
CELL_PARAMETERS angstrom
4.025 0.000 0.000
0.000 6.129 0.000
0.000 0.000 5.674
ATOMIC_POSITIONS angstrom
Gd 0.000 1.245 0.000
Gd 0.000 4.885 2.837
Hg 2.012 1.656 2.724
Hg 2.012 4.473 5.561
N 0.000 0.977 2.316
N 0.000 5.152 5.153
O 2.012 2.022 5.223
O 2.012 4.107 2.386
```

Properties
- Volume: 140.0 Å³ per cell
- SG: Pmc2_1 (26)
- Total moment: 0.00 μB/f.u.

Which of them is most stable, and which least? Most stable: #Q; least stable: #P.